(P)
A crystal of Y2CrW relaxed with PBEsol, computed with meta-GGA SCAN.

The structure belongs to space group F-43m (No. 216); the cell edges are 6.810, 6.810 and 6.810 Å and the angles 90.00°, 90.00° and 90.00°. The inequivalent atoms are Y at (0.000, 0.000, 0.000), Y at (0.250, 0.250, 0.250), Cr at (0.250, 0.250, 0.750) and W at (0.000, 0.000, 0.500).

For the total magnetization, the calculation gives 0.5129 μB per atom. For the mass density, the calculation gives 8.70 g/cm³. The density of states at the Fermi level comes out at 1.11 states/eV per atom.

(Q)
A crystal of Y2CrW relaxed with PBEsol, computed with meta-GGA SCAN.

The structure belongs to space group Imm2 (No. 44); the cell edges are 3.365, 4.932 and 10.021 Å and the angles 90.00°, 90.00° and 90.00°. The inequivalent atoms are Y at (0.000, 0.000, 0.000), Y at (0.000, 0.500, 0.221), Cr at (0.000, 0.500, 0.771) and W at (0.000, 0.000, 0.435).

For the total magnetization, the calculation gives 0.0002 μB per atom. For the mass density, the calculation gives 8.26 g/cm³. The density of states at the Fermi level comes out at 0.85 states/eV per atom.

(R)
A crystal of Y2CrW relaxed with PBEsol, computed with meta-GGA SCAN.

The structure belongs to space group R-3m (No. 166, hexagonal axes); the cell edges are 3.1302, 3.1302 and 29.0382 Å and the angles 90.00°, 90.00° and 120.00°. The inequivalent atoms are Y at (0.0000, 0.0000, 0.2482), Cr at (0.0000, 0.0000, 0.5000) and W at (0.0000, 0.0000, 0.0000).

For the total magnetization, the calculation gives 0.8093 μB per atom. For the mass density, the calculation gives 8.36 g/cm³. The density of states at the Fermi level comes out at 1.00 states/eV per atom.

(Q) is preferred energetically. Next in line: 226 meV/atom higher.

(P)
A crystal of ZrCrW2 relaxed with PBEsol, computed with meta-GGA SCAN.

The structure belongs to space group Fm-3m (No. 225); the cell edges are 6.284, 6.284 and 6.284 Å and the angles 90.00°, 90.00° and 90.00°. The inequivalent atoms are Zr at (0.000, 0.000, 0.000), Cr at (0.000, 0.000, 0.500) and W at (0.250, 0.250, 0.250).

For the total magnetization, the calculation gives 0.0000 μB per atom. For the mass density, the calculation gives 13.67 g/cm³. The density of states at the Fermi level comes out at 0.83 states/eV per atom.

(Q)
A crystal of ZrCrW2 relaxed with PBEsol, computed with meta-GGA SCAN.

The structure belongs to space group P4/mmm (No. 123); the cell edges are 4.438, 4.438 and 3.171 Å and the angles 90.00°, 90.00° and 90.00°. The inequivalent atoms are Zr at (0.000, 0.000, 0.000), Cr at (0.500, 0.500, 0.000) and W at (0.000, 0.500, 0.500).

For the total magnetization, the calculation gives 0.0000 μB per atom. For the mass density, the calculation gives 13.58 g/cm³. The density of states at the Fermi level comes out at 0.75 states/eV per atom.

(P) is preferred energetically. Next in line: 29 meV/atom higher.

(P)
A crystal of ZrCrW relaxed with PBEsol, computed with meta-GGA SCAN.

The structure belongs to space group Imma (No. 74); the cell edges are 5.122, 5.276 and 7.266 Å and the angles 90.00°, 90.00° and 90.00°. The inequivalent atoms are Zr at (0.000, 0.250, 0.123), Cr at (0.250, 0.250, 0.750) and W at (0.000, 0.000, 0.500).

For the total magnetization, the calculation gives 0.0000 μB per atom. For the mass density, the calculation gives 11.06 g/cm³. The density of states at the Fermi level comes out at 0.54 states/eV per atom.

(Q)
A crystal of ZrCrW relaxed with PBEsol, computed with meta-GGA SCAN.

The structure belongs to space group F-43m (No. 216); the cell edges are 6.174, 6.174 and 6.174 Å and the angles 90.00°, 90.00° and 90.00°. The inequivalent atoms are Zr at (0.000, 0.000, 0.000), Cr at (0.250, 0.250, 0.750) and W at (0.250, 0.250, 0.250).

For the total magnetization, the calculation gives 0.4926 μB per atom. For the mass density, the calculation gives 9.23 g/cm³. The density of states at the Fermi level comes out at 0.73 states/eV per atom.

(P) is preferred energetically. Next in line: 1478 meV/atom higher.

(P)
A crystal of Y4Cr relaxed with PBEsol, computed with meta-GGA SCAN.

The structure belongs to space group I4/m (No. 87); the cell edges are 7.288, 7.288 and 5.093 Å and the angles 90.00°, 90.00° and 90.00°. The inequivalent atoms are Y at (0.117, 0.695, 0.000) and Cr at (0.000, 0.000, 0.500).

For the total magnetization, the calculation gives 0.6055 μB per atom. For the mass density, the calculation gives 5.00 g/cm³. The density of states at the Fermi level comes out at 1.25 states/eV per atom.

(Q)
A crystal of Y4Cr relaxed with PBEsol, computed with meta-GGA SCAN.

The structure belongs to space group I4/mmm (No. 139); the cell edges are 4.136, 4.136 and 17.536 Å and the angles 90.00°, 90.00° and 90.00°. The inequivalent atoms are Y at (0.000, 0.000, 0.088), Y at (0.000, 0.500, 0.250) and Cr at (0.000, 0.000, 0.500).

For the total magnetization, the calculation gives 0.8162 μB per atom. For the mass density, the calculation gives 4.51 g/cm³. The density of states at the Fermi level comes out at 0.94 states/eV per atom.

(P) is preferred energetically. Next in line: 408 meV/atom higher.